KCaBi2 after structural relaxation, computed with PBE.

The calculation puts the excess energy over the best structure of this formula in the dataset at 147 meV per atom. As for the total energy: -3.119 eV/atom. The calculation puts the energy of formation from the pure elements at -404 meV per atom. The volume is 33.70 Å³ per atom.

It has space group Fm-3m (No. 225), with a = 8.139 Å, b = 8.139 Å, c = 8.139 Å, α = 90.00°, β = 90.00° and γ = 90.00°. The asymmetric unit holds K at (0.000, 0.000, 0.000), Ca at (0.000, 0.000, 0.500) and Bi at (0.250, 0.250, 0.250).



Ac12Tl2Pb5 after structural relaxation, computed with PBE.

As for the total energy: -4.034 eV/atom. The calculation puts the energy of formation from the pure elements at -214 meV per atom. The volume is 43.87 Å³ per atom.

It has space group C2/m (No. 12), with a = 19.483 Å, b = 8.137 Å, c = 10.839 Å, α = 90.00°, β = 104.00° and γ = 90.00°. The asymmetric unit holds Ac at (0.007, 0.000, 0.286), Ac at (0.029, 0.500, 0.818), Ac at (0.149, 0.253, 0.567), Ac at (0.173, 0.244, 0.099), Tl at (0.000, 0.186, 0.000), Pb at (0.000, 0.500, 0.500), Pb at (0.177, 0.000, 0.830) and Pb at (0.202, 0.000, 0.362).



Sr2TaV2 after structural relaxation, computed with PBE.

The calculation puts the excess energy over the best structure of this formula in the dataset at 0 meV per atom. As for the total energy: -5.429 eV/atom. The calculation puts the energy of formation from the pure elements at 1262 meV per atom. The volume is 26.28 Å³ per atom.

It has space group P4/mbm (No. 127), with a = 9.057 Å, b = 9.057 Å, c = 3.203 Å, α = 90.00°, β = 90.00° and γ = 90.00°. The asymmetric unit holds Sr at (0.214, 0.286, 0.000), Ta at (0.000, 0.000, 0.500) and V at (0.072, 0.572, 0.500).



Ca2AgRu after structural relaxation, computed with PBE.

As for the total energy: -3.968 eV/atom. The calculation puts the energy of formation from the pure elements at 64 meV per atom. The volume is 22.65 Å³ per atom.

It has space group P4/mmm (No. 123), with a = 3.480 Å, b = 3.480 Å, c = 7.482 Å, α = 90.00°, β = 90.00° and γ = 90.00°. The asymmetric unit holds Ca at (0.000, 0.000, 0.224), Ag at (0.500, 0.500, 0.500) and Ru at (0.500, 0.500, 0.000).



Y6Bi3SbSe2 after structural relaxation, computed with PBE.

As for the total energy: -6.351 eV/atom. The volume is 28.90 Å³ per atom.

It has space group C2/m (No. 12), with a = 7.513 Å, b = 13.014 Å, c = 7.523 Å, α = 90.00°, β = 109.43° and γ = 90.00°. The asymmetric unit holds Y at (0.237, 0.000, 0.233), Y at (0.249, 0.330, 0.239), Bi at (0.000, 0.000, 0.500), Bi at (0.000, 0.337, 0.500), Sb at (0.000, 0.500, 0.000) and Se at (0.000, 0.167, 0.000).



K2ScP after structural relaxation, computed with PBE.

As for the total energy: -2.974 eV/atom. The calculation puts the energy of formation from the pure elements at 510 meV per atom. The volume is 31.44 Å³ per atom.

It has space group R-3m (No. 166, hexagonal axes), with a = 3.4590 Å, b = 3.4590 Å, c = 36.4103 Å, α = 90.00°, β = 90.00° and γ = 120.00°. The asymmetric unit holds K at (0.0000, 0.0000, 0.2340), Sc at (0.0000, 0.0000, 0.0000) and P at (0.0000, 0.0000, 0.5000).



What did we get for mass density? Answer: 6.1; 8.3; 5.8; 5.3; 6.9; 2.0 g/cm³, in the order shown.